# Li2Mn2Ni15, relaxed, DFT PBE
# size of the total moment	47.95	μB/cell
# uncorrected energy	-5.663	eV/atom
# energy of formation from the pure elements	0.068	eV per atom
data_Li2Mn2Ni15
_cell_length_a 8.1081
_cell_length_b 8.1081
_cell_length_c 12.0423
_cell_angle_alpha 90.00
_cell_angle_beta 90.00
_cell_angle_gamma 120.00
_symmetry_space_group_name_H-M 'R -3 m'
_symmetry_Int_Tables_number 166
_symmetry_space_group_name_Hall '-R 3 2"'
loop_
_atom_site_label
_atom_site_fract_x
_atom_site_fract_y
_atom_site_fract_z
_atom_site_occupancy
Li1 0.0000 0.0000 0.0992 1
Mn1 0.0000 0.0000 0.3562 1
Ni1 0.0000 0.3204 0.0000 1
Ni2 0.0000 0.5000 0.5000 1
Ni3 0.0072 0.5036 0.1598 1

---

# Pm2Br2Cl, relaxed, DFT PBE
# size of the total moment	0.00	μB/cell
# uncorrected energy	-4.476	eV/atom
# formation energy without anion corrections	-1.538	eV per atom
data_Pm2Br2Cl
_cell_length_a 12.6842
_cell_length_b 5.8350
_cell_length_c 8.2635
_cell_angle_alpha 90.00
_cell_angle_beta 113.35
_cell_angle_gamma 90.00
_symmetry_space_group_name_H-M 'C 1 2/m 1'
_symmetry_Int_Tables_number 12
_symmetry_space_group_name_Hall '-C 2y'
loop_
_atom_site_label
_atom_site_fract_x
_atom_site_fract_y
_atom_site_fract_z
_atom_site_occupancy
Pm1 0.0086 0.0000 0.2805 1
Pm2 0.1596 0.5000 0.5734 1
Br1 0.0209 0.5000 0.7983 1
Br2 0.2014 0.0000 0.6499 1
Cl1 0.1517 0.0000 0.0908 1

---

# SrZrGe2, relaxed, DFT PBE
# size of the total moment	0.00	μB/cell
# uncorrected energy	-5.303	eV/atom
# energy of formation from the pure elements	-0.437	eV per atom
data_SrZrGe2
_cell_length_a 4.3348
_cell_length_b 4.3348
_cell_length_c 19.3268
_cell_angle_alpha 90.00
_cell_angle_beta 90.00
_cell_angle_gamma 120.00
_symmetry_space_group_name_H-M 'R -3 m'
_symmetry_Int_Tables_number 166
_symmetry_space_group_name_Hall '-R 3 2"'
loop_
_atom_site_label
_atom_site_fract_x
_atom_site_fract_y
_atom_site_fract_z
_atom_site_occupancy
Sr1 0.0000 0.0000 0.0000 1
Zr1 0.0000 0.0000 0.5000 1
Ge1 0.0000 0.0000 0.2282 1

---

> What is the size of the total moment in the second record?

0.00 μB/cell

---

> What is the size of the total moment in the first record?

47.95 μB/cell